# 1
VASP calculation (GGA-PBE) on Tb5Pm5Y2 after structural relaxation.

Summary:
Final energy = -59.65 eV for the cell shown
Space group = C2/m (12)

Lattice parameters (Å, degrees): 8.0476 8.0476 11.3980 115.11 115.11 36.86
With the nearest neighbours (Å) after each atom.
Atoms (fractional coordinates):
Tb 0.0000 0.0000 0.0000  8 Pm 3.59-3.60, 2 Tb 3.61, 2 Y 3.61
Tb 0.1676 0.1676 0.5006  5 Pm 3.58-3.61, 5 Tb 3.58-3.59, 2 Y 3.60-3.61
Tb 0.2505 0.2505 0.2516  4 Tb 3.59-3.61, 6 Pm 3.59-3.62, 2 Y 3.60
Tb 0.7495 0.7495 0.7484  4 Tb 3.59-3.61, 6 Pm 3.59-3.62, 2 Y 3.60
Tb 0.8324 0.8324 0.4994  5 Pm 3.58-3.61, 5 Tb 3.58-3.59, 2 Y 3.60-3.61
Pm 0.3338 0.3338 0.0001  4 Pm 3.59-3.61, 5 Tb 3.59-3.62, 3 Y 3.61
Pm 0.4158 0.4158 0.7496  7 Tb 3.58-3.60, 3 Pm 3.59-3.61, 2 Y 3.61
Pm 0.5000 0.5000 0.5000  6 Tb 3.59-3.61, 4 Y 3.59, 2 Pm 3.61
Pm 0.5842 0.5842 0.2504  7 Tb 3.58-3.60, 3 Pm 3.59-3.61, 2 Y 3.61
Pm 0.6662 0.6662 0.9999  4 Pm 3.59-3.61, 5 Tb 3.59-3.62, 3 Y 3.61
Y 0.0833 0.0833 0.7491  7 Pm 3.59-3.61, 5 Tb 3.60-3.61
Y 0.9167 0.9167 0.2509  7 Pm 3.59-3.61, 5 Tb 3.60-3.61

=====

# 2
VASP calculation (GGA-PBE) on CdCo2Se after structural relaxation.

Summary:
Energy relative to the elements, uncorrected = 43.38 kJ/mol of atoms
Final energy = -16.81 eV for the cell shown
Space group = I-4m2 (119)

Lattice parameters (Å, degrees): 5.0479 5.0479 5.0479 135.88 135.88 64.16
With the nearest neighbours (Å) after each atom.
Atoms (fractional coordinates):
Cd 0.0000 0.0000 0.0000  8 Co 2.68-2.86, 4 Se 2.86
Co 0.2500 0.7500 0.5000  4 Se 2.68, 4 Cd 2.86, 4 Co 2.86
Co 0.5000 0.5000 0.0000  4 Cd 2.68, 4 Se 2.86, 4 Co 2.86
Se 0.7500 0.2500 0.5000  8 Co 2.68-2.86, 4 Cd 2.86

=====

Question: Among the records above, which one has the highest final energy?
Answer: CdCo2Se

=====

Repeat the first record exactly.
VASP calculation (GGA-PBE) on Tb5Pm5Y2 after structural relaxation.

Summary:
Final energy = -59.65 eV for the cell shown
Space group = C2/m (12)

Lattice parameters (Å, degrees): 8.0476 8.0476 11.3980 115.11 115.11 36.86
With the nearest neighbours (Å) after each atom.
Atoms (fractional coordinates):
Tb 0.0000 0.0000 0.0000  8 Pm 3.59-3.60, 2 Tb 3.61, 2 Y 3.61
Tb 0.1676 0.1676 0.5006  5 Pm 3.58-3.61, 5 Tb 3.58-3.59, 2 Y 3.60-3.61
Tb 0.2505 0.2505 0.2516  4 Tb 3.59-3.61, 6 Pm 3.59-3.62, 2 Y 3.60
Tb 0.7495 0.7495 0.7484  4 Tb 3.59-3.61, 6 Pm 3.59-3.62, 2 Y 3.60
Tb 0.8324 0.8324 0.4994  5 Pm 3.58-3.61, 5 Tb 3.58-3.59, 2 Y 3.60-3.61
Pm 0.3338 0.3338 0.0001  4 Pm 3.59-3.61, 5 Tb 3.59-3.62, 3 Y 3.61
Pm 0.4158 0.4158 0.7496  7 Tb 3.58-3.60, 3 Pm 3.59-3.61, 2 Y 3.61
Pm 0.5000 0.5000 0.5000  6 Tb 3.59-3.61, 4 Y 3.59, 2 Pm 3.61
Pm 0.5842 0.5842 0.2504  7 Tb 3.58-3.60, 3 Pm 3.59-3.61, 2 Y 3.61
Pm 0.6662 0.6662 0.9999  4 Pm 3.59-3.61, 5 Tb 3.59-3.62, 3 Y 3.61
Y 0.0833 0.0833 0.7491  7 Pm 3.59-3.61, 5 Tb 3.60-3.61
Y 0.9167 0.9167 0.2509  7 Pm 3.59-3.61, 5 Tb 3.60-3.61

=====

Question: What is the final energy in the second record?
Answer: -16.81 eV for the cell shown

=====

Question: Which of these has the highest final energy?
Answer: CdCo2Se